VASP calculation (GGA-PBE) on a relaxed structure of LiP3F.

CIF file:
```
data_LiP3F
_chemical_formula_sum 'Li1 P3 F1'
_symmetry_space_group_name_H-M 'P m -3 m'
_symmetry_Int_Tables_number 221
_symmetry_space_group_name_Hall '-P 4 2 3'
_cell_length_a 4.241
_cell_length_b 4.241
_cell_length_c 4.241
_cell_angle_alpha 90.00
_cell_angle_beta 90.00
_cell_angle_gamma 90.00
loop_
_atom_site_label
_atom_site_fract_x
_atom_site_fract_y
_atom_site_fract_z
Li1 0.000 0.000 0.000
P1 0.000 0.000 0.500
F1 0.500 0.500 0.500
```

Computed properties:
Formation energy without anion corrections, eV/f.u.: 3.22
Volume, Å³/cell: 76
Fermi-level density of states, states/eV per cell: 3.5
Total magnetic moment, μB per atom: 0.00
E_tot, eV per atom: -3.360